(1)
{
  "formula": "TiAlPt2",
  "functional": "meta-GGA SCAN",
  "state": "PBEsol geometry",
  "cell": [[3.943, 0.000, 0.000], [0.000, 3.943, 0.000], [-1.972, -1.972, 8.464]],
  "species": ["Al", "Al", "Pt", "Pt", "Pt", "Pt", "Ti", "Ti"],
  "fractional_positions": [[0.750, 0.250, 0.500], [0.500, 0.500, 0.000], [0.380, 0.875, 0.250], [0.870, 0.375, 0.250], [0.125, 0.130, 0.750], [0.625, 0.620, 0.750], [0.250, 0.750, 0.500], [0.000, 0.000, 0.000]]
}

(2)
{
  "formula": "TiAlPt",
  "functional": "meta-GGA SCAN",
  "state": "PBEsol geometry",
  "cell": [[-2.759, -3.431, 0.036], [4.313, -0.637, 0.614], [-0.663, 0.588, 5.262]],
  "species": ["Al", "Al", "Pt", "Pt", "Ti", "Ti"],
  "fractional_positions": [[0.333, 0.667, 0.250], [0.667, 0.333, 0.750], [0.667, 0.333, 0.250], [0.333, 0.667, 0.750], [0.000, 0.000, 0.000], [0.000, 0.000, 0.500]]
}

(3)
{
  "formula": "AlTl2Pt",
  "functional": "meta-GGA SCAN",
  "state": "PBEsol geometry",
  "cell": [[-0.103, 0.738, 3.052], [-4.407, -1.962, 0.325], [4.586, -4.410, -0.395]],
  "species": ["Tl", "Tl", "Al", "Pt"],
  "fractional_positions": [[0.964, 0.964, 0.928], [0.769, 0.269, 0.538], [0.551, 0.551, 0.102], [0.216, 0.716, 0.432]]
}

(4)
{
  "formula": "Al2PtW",
  "functional": "meta-GGA SCAN",
  "state": "PBEsol geometry",
  "cell": [[2.835, 0.000, 0.000], [1.417, 2.455, 0.000], [1.417, 0.818, 8.588]],
  "species": ["W", "Pt", "Al", "Al"],
  "fractional_positions": [[0.000, 0.000, 0.000], [0.500, 0.500, 0.500], [0.247, 0.247, 0.259], [0.753, 0.753, 0.741]],
  "e_above_lowest_polymorph_ev_per_atom": 0.0403
}

(5)
{
  "formula": "Al3PtW",
  "functional": "meta-GGA SCAN",
  "state": "PBEsol geometry",
  "cell": [[-0.095, 4.598, -0.342], [-3.192, 0.181, 3.324], [3.327, 0.305, 3.179]],
  "species": ["W", "Pt", "Al", "Al", "Al"],
  "fractional_positions": [[0.500, 0.500, 0.500], [0.000, 0.000, 0.000], [0.000, 0.500, 0.000], [0.000, 0.000, 0.500], [0.500, 0.000, 0.000]]
}

(6)
{
  "formula": "Al2PtW",
  "functional": "meta-GGA SCAN",
  "state": "PBEsol geometry",
  "cell": [[2.759, 0.000, 0.000], [0.000, 4.686, -0.016], [0.000, -1.034, 4.570]],
  "species": ["W", "Pt", "Al", "Al"],
  "fractional_positions": [[0.500, 0.500, 0.500], [0.500, 0.000, 0.000], [0.000, 0.500, 0.000], [0.000, 0.000, 0.500]],
  "e_above_lowest_polymorph_ev_per_atom": 0.0000
}

(7)
{
  "formula": "YAlPt",
  "functional": "meta-GGA SCAN",
  "state": "PBEsol geometry",
  "cell": [[4.378, 0.000, 0.000], [0.000, 6.851, 0.000], [0.000, 0.000, 7.663]],
  "species": ["Y", "Y", "Y", "Y", "Al", "Al", "Al", "Al", "Pt", "Pt", "Pt", "Pt"],
  "fractional_positions": [[0.750, 0.974, 0.683], [0.750, 0.474, 0.817], [0.250, 0.026, 0.317], [0.250, 0.526, 0.183], [0.750, 0.852, 0.066], [0.750, 0.352, 0.434], [0.250, 0.148, 0.934], [0.250, 0.648, 0.566], [0.750, 0.726, 0.386], [0.750, 0.226, 0.114], [0.250, 0.274, 0.614], [0.250, 0.774, 0.886]]
}

(8)
{
  "formula": "Y2AlPt2",
  "functional": "meta-GGA SCAN",
  "state": "PBEsol geometry",
  "cell": [[-3.538, -2.873, 2.903], [4.690, 1.457, 2.253], [-1.155, 5.132, -1.234]],
  "species": ["Y", "Y", "Al", "Pt", "Pt"],
  "fractional_positions": [[0.500, 0.750, 0.250], [0.500, 0.250, 0.750], [0.000, 0.000, 0.000], [0.000, 0.330, 0.330], [0.000, 0.670, 0.670]]
}

no.,ΔE_f (meV per atom)
1,-622
2,-1151
3,-56
4,-433
5,587
6,-473
7,-1414
8,-1034